# ZnCdP2Cl (PBEsol, relaxed)
data_ZnCdP2Cl
_symmetry_space_group_name_H-M 'P 1'
_symmetry_Int_Tables_number 1
_cell_length_a 4.597
_cell_length_b 4.597
_cell_length_c 4.918
_cell_angle_alpha 90.00
_cell_angle_beta 90.00
_cell_angle_gamma 90.00
loop_
_symmetry_equiv_pos_as_xyz
'x,y,z'
loop_
_atom_site_label
_atom_site_type_symbol
_atom_site_fract_x
_atom_site_fract_y
_atom_site_fract_z
P1 P 0.000 0.500 0.000
P2 P 0.500 0.000 0.000
Zn1 Zn 0.000 0.000 0.000
Cl1 Cl 0.000 0.000 0.500
Cd1 Cd 0.500 0.500 0.500
# Formation energy (no corrections)   0.526 eV per atom
# DOS(E_F)   3.043 states/eV/cell
# Spin magnetization   0.92 μB/f.u.
# Theoretical density   4.40 g/cm³
# SG   P4/mmm

# MnCrCo2 (PBEsol, relaxed)
data_MnCrCo2
_symmetry_space_group_name_H-M 'P 1'
_symmetry_Int_Tables_number 1
_cell_length_a 3.430
_cell_length_b 3.430
_cell_length_c 4.249
_cell_angle_alpha 113.81
_cell_angle_beta 113.81
_cell_angle_gamma 90.00
loop_
_symmetry_equiv_pos_as_xyz
'x,y,z'
loop_
_atom_site_label
_atom_site_type_symbol
_atom_site_fract_x
_atom_site_fract_y
_atom_site_fract_z
Cr1 Cr 0.000 0.000 0.000
Mn1 Mn 0.500 0.500 0.000
Co1 Co 0.750 0.250 0.500
Co2 Co 0.250 0.750 0.500
# DOS(E_F)   3.179 states/eV/cell
# Spin magnetization   0.59 μB/f.u.
# Energy of formation from the pure elements   -0.0018 eV per atom
# Theoretical density   9.10 g/cm³
# SG   I4/mmm

# CoAgMo (PBEsol, relaxed)
data_CoAgMo
_symmetry_space_group_name_H-M 'P 1'
_symmetry_Int_Tables_number 1
_cell_length_a 2.705
_cell_length_b 2.705
_cell_length_c 6.668
_cell_angle_alpha 90.00
_cell_angle_beta 90.00
_cell_angle_gamma 120.00
loop_
_symmetry_equiv_pos_as_xyz
'x,y,z'
loop_
_atom_site_label
_atom_site_type_symbol
_atom_site_fract_x
_atom_site_fract_y
_atom_site_fract_z
Mo1 Mo 0.667 0.333 0.362
Co1 Co 0.333 0.667 0.651
Ag1 Ag 0.000 0.000 0.987
# DOS(E_F)   2.014 states/eV/cell
# Spin magnetization   0.37 μB/f.u.
# Energy of formation from the pure elements   0.3507 eV per atom
# Theoretical density   10.32 g/cm³
# SG   P3m1

# SiSb4Ru (PBEsol, relaxed)
data_SiSb4Ru
_symmetry_space_group_name_H-M 'P 1'
_symmetry_Int_Tables_number 1
_cell_length_a 5.942
_cell_length_b 5.942
_cell_length_c 5.942
_cell_angle_alpha 60.00
_cell_angle_beta 60.00
_cell_angle_gamma 60.00
loop_
_symmetry_equiv_pos_as_xyz
'x,y,z'
loop_
_atom_site_label
_atom_site_type_symbol
_atom_site_fract_x
_atom_site_fract_y
_atom_site_fract_z
Ru1 Ru 0.000 0.000 0.000
Sb1 Sb 0.375 0.375 0.375
Sb2 Sb 0.375 0.375 0.875
Sb3 Sb 0.875 0.375 0.375
Sb4 Sb 0.375 0.875 0.375
Si1 Si 0.750 0.750 0.750
# Formation energy (no corrections)   1.146 eV per atom
# DOS(E_F)   6.189 states/eV/cell
# Spin magnetization   2.01 μB/f.u.
# Theoretical density   6.90 g/cm³
# SG   F-43m

# LaCrRe2Pt (PBEsol, relaxed)
data_LaCrRe2Pt
_symmetry_space_group_name_H-M 'P 1'
_symmetry_Int_Tables_number 1
_cell_length_a 4.802
_cell_length_b 4.802
_cell_length_c 4.963
_cell_angle_alpha 90.00
_cell_angle_beta 90.00
_cell_angle_gamma 90.00
loop_
_symmetry_equiv_pos_as_xyz
'x,y,z'
loop_
_atom_site_label
_atom_site_type_symbol
_atom_site_fract_x
_atom_site_fract_y
_atom_site_fract_z
Re1 Re 0.000 0.500 0.000
Re2 Re 0.500 0.000 0.000
Cr1 Cr 0.500 0.500 0.500
Pt1 Pt 0.000 0.000 0.500
La1 La 0.000 0.000 0.000
# DOS(E_F)   7.030 states/eV/cell
# Spin magnetization   1.92 μB/f.u.
# Energy of formation from the pure elements   2.7715 eV per atom
# Theoretical density   11.00 g/cm³
# SG   P4/mmm

# K4Na2H18PdI2O20 (PBEsol, relaxed)
data_K4Na2H18PdI2O20
_symmetry_space_group_name_H-M 'P 1'
_symmetry_Int_Tables_number 1
_cell_length_a 6.709
_cell_length_b 7.127
_cell_length_c 10.719
_cell_angle_alpha 92.31
_cell_angle_beta 102.46
_cell_angle_gamma 94.61
loop_
_symmetry_equiv_pos_as_xyz
'x,y,z'
loop_
_atom_site_label
_atom_site_type_symbol
_atom_site_fract_x
_atom_site_fract_y
_atom_site_fract_z
K1 K 0.108 0.345 0.606
K2 K 0.080 0.311 0.122
K3 K 0.920 0.689 0.878
K4 K 0.892 0.655 0.394
Na1 Na 0.292 0.816 0.240
Na2 Na 0.708 0.184 0.760
H1 H 0.150 0.148 0.856
H2 H 0.177 0.375 0.854
H3 H 0.092 0.113 0.383
H4 H 0.302 0.024 0.560
H5 H 0.361 0.641 0.479
H6 H 0.335 0.134 0.392
H7 H 0.531 0.478 0.878
H8 H 0.376 0.480 0.375
H9 H 0.649 0.386 0.003
H10 H 0.351 0.614 0.997
H11 H 0.624 0.520 0.625
H12 H 0.469 0.522 0.122
H13 H 0.665 0.866 0.608
H14 H 0.639 0.359 0.521
H15 H 0.698 0.976 0.440
H16 H 0.908 0.887 0.617
H17 H 0.823 0.625 0.146
H18 H 0.850 0.852 0.144
Pd1 Pd 0.500 0.000 0.000
I1 I 0.340 0.806 0.741
I2 I 0.660 0.194 0.259
O1 O 0.074 0.266 0.854
O2 O 0.082 0.742 0.641
O3 O 0.236 0.941 0.872
O4 O 0.326 0.582 0.828
O5 O 0.220 0.043 0.406
O6 O 0.355 0.048 0.657
O7 O 0.291 0.584 0.391
O8 O 0.484 0.704 0.627
O9 O 0.600 0.899 0.853
O10 O 0.344 0.591 0.087
O11 O 0.656 0.409 0.913
O12 O 0.400 0.101 0.147
O13 O 0.516 0.296 0.373
O14 O 0.709 0.416 0.609
O15 O 0.645 0.952 0.343
O16 O 0.780 0.957 0.594
O17 O 0.674 0.418 0.172
O18 O 0.764 0.059 0.128
O19 O 0.918 0.258 0.359
O20 O 0.926 0.734 0.146
# Spin magnetization   0.16 μB/f.u.
# VASP energy   -4.97 eV per atom
# Theoretical density   3.00 g/cm³
# SG   P-1